Record 1
# Zr3TlBr

Crystalline Zr3TlBr at its relaxed geometry (PBE, Alexandria).

Results
* DOS(E_F): 4.54 states/eV/cell
* formation energy from raw total energies: 0.368 eV/atom
* energy relative to the lowest polymorph listed for this composition: 0.000 eV per atom
* M_tot: 0.0 μB/f.u.

Lattice parameters (Å, degrees): 5.0038 5.0038 5.0038 90.00 90.00 90.00
Element x y z (fractional)
Tl: 0.5000 0.5000 0.5000
Br: 0.0000 0.0000 0.0000
Zr: 0.0000 0.5000 0.0000
Zr: 0.0000 0.0000 0.5000
Zr: 0.5000 0.0000 0.0000

***

Record 2
# ZrTlBr2

Crystalline ZrTlBr2 at its relaxed geometry (PBE, Alexandria).

Results
* DOS(E_F): 3.19 states/eV/cell
* formation energy from raw total energies: -0.804 eV/atom
* energy relative to the lowest polymorph listed for this composition: 0.000 eV per atom
* M_tot: 0.0 μB/f.u.

Lattice parameters (Å, degrees): 10.9550 10.9550 10.9550 18.33 18.33 18.33
Element x y z (fractional)
Tl: 0.0000 0.0000 0.0000
Br: 0.8932 0.8932 0.8932
Br: 0.1068 0.1068 0.1068
Zr: 0.5000 0.5000 0.5000

***

Record 3
# Zr2Tl2Br

Crystalline Zr2Tl2Br at its relaxed geometry (PBE, Alexandria).

Results
* DOS(E_F): 12.71 states/eV/cell
* formation energy from raw total energies: -0.143 eV/atom
* M_tot: 0.0 μB/f.u.

Lattice parameters (Å, degrees): 7.2858 7.2858 4.6262 90.00 90.00 90.00
Element x y z (fractional)
Tl: 0.1557 0.6557 0.5000
Tl: 0.6557 0.8443 0.5000
Tl: 0.8443 0.3443 0.5000
Tl: 0.3443 0.1557 0.5000
Br: 0.0000 0.0000 0.0000
Br: 0.5000 0.5000 0.0000
Zr: 0.3507 0.8507 0.0000
Zr: 0.8507 0.6493 0.0000
Zr: 0.6493 0.1493 0.0000
Zr: 0.1493 0.3507 0.0000

***

Record 4
# Zr4TlBr7

Crystalline Zr4TlBr7 at its relaxed geometry (PBE, Alexandria).

Results
* DOS(E_F): 6.54 states/eV/cell
* formation energy from raw total energies: -0.829 eV/atom
* M_tot: 0.0 μB/f.u.

Lattice parameters (Å, degrees): 5.3496 5.7141 20.5823 90.00 90.00 90.00
Element x y z (fractional)
Zr: 0.5125 0.8096 0.8548
Zr: 0.0127 0.8359 0.2439
Zr: 0.5127 0.1641 0.2561
Zr: 0.0125 0.1904 0.6452
Zr: 0.0125 0.1904 0.3548
Zr: 0.5125 0.8096 0.1452
Zr: 0.0127 0.8359 0.7561
Zr: 0.5127 0.1641 0.7439
Tl: 0.5159 0.6274 0.5000
Tl: 0.0159 0.3726 0.0000
Br: 0.0124 0.8288 0.1103
Br: 0.5124 0.1712 0.3897
Br: 0.5130 0.2901 0.8812
Br: 0.0130 0.7099 0.6188
Br: 0.0130 0.7099 0.3812
Br: 0.5130 0.2901 0.1188
Br: 0.5129 0.6658 0.7261
Br: 0.0129 0.3342 0.7739
Br: 0.0129 0.3342 0.2261
Br: 0.5129 0.6658 0.2739
Br: 0.5120 0.7666 0.0000
Br: 0.0120 0.2334 0.5000
Br: 0.0124 0.8288 0.8897
Br: 0.5124 0.1712 0.6103

***

Record 5
# Zr2TlBr

Crystalline Zr2TlBr at its relaxed geometry (PBE, Alexandria).

Results
* DOS(E_F): 4.69 states/eV/cell
* formation energy from raw total energies: 0.142 eV/atom
* energy relative to the lowest polymorph listed for this composition: 0.399 eV per atom
* M_tot: 0.0 μB/f.u.

Lattice parameters (Å, degrees): 5.9598 5.9598 5.9598 138.06 138.06 60.81
Element x y z (fractional)
Tl: 0.7500 0.2500 0.5000
Br: 0.5000 0.5000 0.0000
Zr: 0.0000 0.0000 0.0000
Zr: 0.2500 0.7500 0.5000

***

Record 6
# Zr2TlBr

Crystalline Zr2TlBr at its relaxed geometry (PBE, Alexandria).

Results
* DOS(E_F): 2.36 states/eV/cell
* formation energy from raw total energies: -0.140 eV/atom
* energy relative to the lowest polymorph listed for this composition: 0.117 eV per atom
* M_tot: 0.0 μB/f.u.

Lattice parameters (Å, degrees): 4.0894 3.3092 6.9224 89.16 90.00 90.00
Element x y z (fractional)
Tl: 0.5000 0.7500 0.7500
Br: 0.5000 0.2500 0.2500
Zr: 0.0000 0.2418 0.9940
Zr: 0.0000 0.2582 0.5060